*1*
{
  "formula": "LaCdP2Cl",
  "functional": "PBE-GGA",
  "state": "relaxed",
  "volume_a3_per_atom": 25.19,
  "space_group": "P4/mmm (123)",
  "m_tot_mub_per_fu": 0.0,
  "crystal_system": "tetragonal",
  "dos_at_fermi_per_ev_fu": 2.39,
  "cell": [[-1.432, 1.217, 4.542], [-4.080, -2.682, -0.568], [2.479, -4.172, 1.899]],
  "species": ["Cl", "Cd", "P", "P", "La"],
  "frac_coords": [[0.000, 0.000, 0.500], [0.000, 0.000, 0.000], [0.000, 0.500, 0.000], [0.500, 0.000, 0.000], [0.500, 0.500, 0.500]]
}

*2*
{
  "formula": "LaCdP2Cl",
  "functional": "PBE-GGA",
  "state": "relaxed",
  "volume_a3_per_atom": 34.64,
  "space_group": "P4/mmm (123)",
  "m_tot_mub_per_fu": 0.7,
  "crystal_system": "tetragonal",
  "dos_at_fermi_per_ev_fu": 5.13,
  "cell": [[-2.498, 4.551, -2.233], [0.759, -2.125, -5.181], [-4.810, -2.486, 0.315]],
  "species": ["Cl", "Cd", "P", "P", "La"],
  "frac_coords": [[0.000, 0.000, 0.500], [0.500, 0.500, 0.500], [0.000, 0.500, 0.000], [0.500, 0.000, 0.000], [0.000, 0.000, 0.000]]
}

Stability check: which of them is least stable? *2*.